DFT (PBE) results for a relaxed Na5Sr4Au2 crystal.

## Properties
Total magnetization, μB/atom: 0.0000
E_form, kJ/mol of atoms: -26
Uncorrected energy, eV for the cell shown: -22.851

Structure (CIF):
```
data_Na5Sr4Au2
_symmetry_space_group_name_H-M 'P 1 2/m 1'
_symmetry_Int_Tables_number 10
_symmetry_space_group_name_Hall '-P 2y'
_cell_length_a 9.0586
_cell_length_b 4.1892
_cell_length_c 11.1594
_cell_angle_alpha 90.00
_cell_angle_beta 93.81
_cell_angle_gamma 90.00
loop_
_atom_site_label
_atom_site_fract_x
_atom_site_fract_y
_atom_site_fract_z
Na1 0.0000 0.0000 0.0000
Na2 0.0505 0.0000 0.3261
Na3 0.3129 0.0000 0.8464
Sr1 0.2995 0.5000 0.5504
Sr2 0.3417 0.5000 0.1622
Au1 0.4389 0.0000 0.3641
```